[1]
## Pm8Ge5Rh (PBE-GGA)

Data for Pm8Ge5Rh after structural relaxation.

Geometry as POSCAR:
```
Pm8Ge5Rh
1.0
-4.5144 4.5144 4.5774
4.5144 -4.5144 4.5774
4.5144 4.5144 -4.5774
Pm Ge Rh
8 5 1
Cartesian
3.9585 2.7529 -1.7786
6.1770 0.6056 0.5845
0.6056 2.8518 -0.5845
0.5559 1.7615 2.7988
3.9088 1.6626 3.9929
1.7615 -0.5559 6.3560
2.7529 5.0703 1.7786
-1.6626 3.9088 5.1619
0.0000 0.0000 0.0000
2.2567 -1.0938 3.4474
3.4206 2.2577 1.1300
2.2577 5.6083 -1.1300
1.0938 2.2567 5.7074
0.0000 4.5144 2.2887
```

Properties
Density of states at the Fermi level, states/eV per atom: 0.466
DFT total energy, eV per atom: -5.648
ΔE_f, meV per atom: -759
SG: No. 82
Total magnetic moment, μB/cell: 0.00

---

[2]
## LiYZnSi (PBE-GGA)

Data for LiYZnSi after structural relaxation.

Geometry as POSCAR:
```
LiYZnSi
1.0
0.0000 3.3632 3.3632
3.3632 0.0000 3.3632
3.3632 3.3632 0.0000
Li Y Zn Si
1 1 1 1
Cartesian
0.0000 0.0000 0.0000
3.3632 3.3632 3.3632
5.0447 5.0447 5.0447
1.6816 1.6816 1.6816
```

Properties
Density of states at the Fermi level, states/eV per atom: 0.318
E_form (uncorrected), eV per formula unit: -1.4
DFT total energy, eV per atom: -4.124
SG: No. 216
Total magnetic moment, μB/cell: 0.00

---

[3]
## TaH3W (PBE-GGA)

Data for TaH3W after structural relaxation.

Geometry as POSCAR:
```
TaH3W
1.0
3.5170 0.0000 0.0000
0.0000 3.5170 0.0000
0.0000 0.0000 3.5170
Ta H W
1 3 1
Cartesian
0.0000 0.0000 0.0000
0.0000 1.7585 1.7585
1.7585 0.0000 1.7585
1.7585 1.7585 0.0000
1.7585 1.7585 1.7585
```

Properties
Density of states at the Fermi level, states/eV per atom: 0.500
DFT total energy, eV per atom: -6.515
SG: No. 221
Total magnetic moment, μB/cell: 0.00

---

[4]
## SrLiHoMg (PBE-GGA)

Data for SrLiHoMg after structural relaxation.

Geometry as POSCAR:
```
SrLiHoMg
1.0
0.0000 3.9558 3.9558
3.9558 0.0000 3.9558
3.9558 3.9558 0.0000
Sr Li Ho Mg
1 1 1 1
Cartesian
0.0000 0.0000 0.0000
5.9337 5.9337 5.9337
3.9558 3.9558 3.9558
1.9779 1.9779 1.9779
```

Properties
Density of states at the Fermi level, states/eV per atom: 0.980
DFT total energy, eV per atom: -2.345
ΔE_f, meV per atom: 97
SG: No. 216
Total magnetic moment, μB/cell: 0.00